No. 1
DFT (PBEsol) results for FeCo after structural relaxation.

Output
* N(E_F): 0.8501 states/eV/atom
* ΔH_f (0 K): 0.030 eV/atom
* VASP energy: -8.3198 eV/atom

abc: 4.6247 4.6247 4.8432
angles: 121.53 121.53 50.36
Closest atoms and distances in Å follow each position.
Fractional coordinates of all 6 atoms:
Fe 0.0000 0.0000 0.0000  4 Fe 2.41-2.43, 4 Co 2.41-2.44
Fe 0.0010 0.0010 0.5035  5 Co 2.39-2.40, 3 Fe 2.41-2.43
Fe 0.6677 0.6677 0.3328  5 Co 2.40-2.42, 3 Fe 2.41
Co 0.3304 0.3304 0.6695  5 Fe 2.39-2.41, 3 Co 2.41-2.45
Co 0.3381 0.3381 0.1752  4 Fe 2.40-2.44, 4 Co 2.41-2.44
Co 0.6666 0.6666 0.8316  5 Fe 2.40-2.42, 3 Co 2.44-2.45

=====

No. 2
DFT (PBEsol) results for Na3CCl after structural relaxation.

Output
* N(E_F): 0.5725 states/eV/atom
* formation energy from raw total energies: 0.251 eV per atom
* VASP energy: -2.9193 eV/atom

abc: 4.8445 4.8445 4.8445
angles: 90.00 90.00 90.00
Closest atoms and distances in Å follow each position.
Fractional coordinates of all 5 atoms:
Na 0.0000 0.0000 0.5000  2 C 2.42
Na 0.0000 0.5000 0.0000  2 C 2.42
Na 0.5000 0.0000 0.0000  2 C 2.42
C 0.0000 0.0000 0.0000  6 Na 2.42
Cl 0.5000 0.5000 0.5000  12 Na 3.43

=====

No. 3
DFT (PBEsol) results for KY2Ti after structural relaxation.

Output
* N(E_F): 2.5494 states/eV/atom
* ΔH_f (0 K): 0.776 eV/atom
* VASP energy: -4.9994 eV/atom

abc: 5.4968 5.4968 5.4968
angles: 60.00 60.00 60.00
Closest atoms and distances in Å follow each position.
Fractional coordinates of all 4 atoms:
K 0.0000 0.0000 0.0000  8 Y 3.37
Y 0.2500 0.2500 0.2500  4 K 3.37, 4 Ti 3.37
Y 0.7500 0.7500 0.7500  4 K 3.37, 4 Ti 3.37
Ti 0.5000 0.5000 0.5000  8 Y 3.37

=====

Q: Number 1 is which compound?
A: FeCo

=====

Q: Among the records above, which one has the lowest VASP energy?
A: FeCo

=====

Repeat the first record exactly.
DFT (PBEsol) results for FeCo after structural relaxation.

Output
* N(E_F): 0.8501 states/eV/atom
* ΔH_f (0 K): 0.030 eV/atom
* VASP energy: -8.3198 eV/atom

abc: 4.6247 4.6247 4.8432
angles: 121.53 121.53 50.36
Closest atoms and distances in Å follow each position.
Fractional coordinates of all 6 atoms:
Fe 0.0000 0.0000 0.0000  4 Fe 2.41-2.43, 4 Co 2.41-2.44
Fe 0.0010 0.0010 0.5035  5 Co 2.39-2.40, 3 Fe 2.41-2.43
Fe 0.6677 0.6677 0.3328  5 Co 2.40-2.42, 3 Fe 2.41
Co 0.3304 0.3304 0.6695  5 Fe 2.39-2.41, 3 Co 2.41-2.45
Co 0.3381 0.3381 0.1752  4 Fe 2.40-2.44, 4 Co 2.41-2.44
Co 0.6666 0.6666 0.8316  5 Fe 2.40-2.42, 3 Co 2.44-2.45

=====

Q: The lowest VASP energy belongs to which entry?
A: FeCo